DFT (SCAN) results for a PBEsol-optimized structure of SrLaCl.

Output
Density of states at the Fermi level   0.297 states/eV/atom
Formation energy from raw total energies   -1071 meV per atom
Space-group type   Fmm2
Total DFT energy (no corrections)   -76.57 eV for the cell shown
Crystal system   orthorhombic

abc: 3.7514 3.7514 7.9168
angles: 97.75 97.75 115.50
Last column: nearest neighbours and their distance in Å.
Sites, in units of the cell vectors:
Sr  0.3531  0.3531  0.7061  2 Cl 2.99
Cl  0.9984  0.9984  0.9967  2 Sr 2.99, 2 La 3.05
La  0.6486  0.6486  0.2972  2 Cl 3.05

---

DFT (SCAN) results for a PBEsol-optimized structure of SrLaTe2Cl.

Output
Density of states at the Fermi level   0.581 states/eV/atom
Formation energy from raw total energies   -625 meV per atom
Space-group type   P4/mmm
Total DFT energy (no corrections)   -150.99 eV for the cell shown
Crystal system   tetragonal

abc: 5.8575 5.8575 7.5540
angles: 90.00 90.00 90.00
Last column: nearest neighbours and their distance in Å.
Sites, in units of the cell vectors:
Sr  0.0000  0.0000  0.5000  2 La 3.78, 4 Cl 4.14
Te  0.0000  0.5000  0.0000  2 La 2.93
Te  0.5000  0.0000  0.0000  2 La 2.93
Cl  0.5000  0.5000  0.5000  4 Sr 4.14
La  0.0000  0.0000  0.0000  4 Te 2.93

---

DFT (SCAN) results for a PBEsol-optimized structure of LaTa3Cl.

Output
Density of states at the Fermi level   0.981 states/eV/atom
Formation energy from raw total energies   797 meV per atom
Space-group type   Pm-3m
Total DFT energy (no corrections)   -246.85 eV for the cell shown
Crystal system   cubic

abc: 4.6735 4.6735 4.6735
angles: 90.00 90.00 90.00
Last column: nearest neighbours and their distance in Å.
Sites, in units of the cell vectors:
Cl  0.0000  0.0000  0.0000  6 Ta 2.34
La  0.5000  0.5000  0.5000  12 Ta 3.30
Ta  0.0000  0.5000  0.0000  2 Cl 2.34
Ta  0.0000  0.0000  0.5000  2 Cl 2.34
Ta  0.5000  0.0000  0.0000  2 Cl 2.34

---

DFT (SCAN) results for a PBEsol-optimized structure of La2TaCl.

Output
Offset from the most stable computed form   35.8 meV/atom
Density of states at the Fermi level   0.915 states/eV/atom
Formation energy from raw total energies   -343 meV per atom
Space-group type   P4/mmm
Total DFT energy (no corrections)   -162.14 eV for the cell shown
Crystal system   tetragonal

abc: 3.2040 5.5396 5.5396
angles: 90.00 90.00 90.00
Last column: nearest neighbours and their distance in Å.
Sites, in units of the cell vectors:
Cl  0.5000  0.0000  0.0000  8 La 3.20, 2 Cl 3.20
La  0.0000  0.0000  0.5000  4 Ta 3.20, 4 Cl 3.20, 2 La 3.20
La  0.0000  0.5000  0.0000  4 Ta 3.20, 4 Cl 3.20, 2 La 3.20
Ta  0.5000  0.5000  0.5000  8 La 3.20, 2 Ta 3.20

---

DFT (SCAN) results for a PBEsol-optimized structure of LaTaCl2.

Output
Density of states at the Fermi level   0.461 states/eV/atom
Formation energy from raw total energies   -345 meV per atom
Space-group type   P4/mmm
Total DFT energy (no corrections)   -127.02 eV for the cell shown
Crystal system   tetragonal

abc: 3.2637 3.2637 9.7392
angles: 90.00 90.00 90.00
Last column: nearest neighbours and their distance in Å.
Sites, in units of the cell vectors:
Cl  0.0000  0.0000  0.8238  4 La 2.88
Cl  0.0000  0.0000  0.1762  4 La 2.88
La  0.5000  0.5000  0.0000  8 Cl 2.88
Ta  0.5000  0.5000  0.5000  4 Ta 3.26

---

DFT (SCAN) results for a PBEsol-optimized structure of La2TaCl.

Output
Offset from the most stable computed form   3.5 meV/atom
Density of states at the Fermi level   0.684 states/eV/atom
Formation energy from raw total energies   -375 meV per atom
Space-group type   R-3m
Total DFT energy (no corrections)   -162.27 eV for the cell shown
Crystal system   trigonal

abc: 3.3989 3.3989 10.0726
angles: 80.29 80.29 60.00
Last column: nearest neighbours and their distance in Å.
Sites, in units of the cell vectors:
Cl  0.0000  0.0000  0.0000  6 La 3.11, 6 Cl 3.40
La  0.2521  0.2521  0.2437  3 Cl 3.11, 3 Ta 3.20, 6 La 3.40
La  0.7479  0.7479  0.7563  3 Cl 3.11, 3 Ta 3.20, 6 La 3.40
Ta  0.5000  0.5000  0.5000  6 La 3.20, 6 Ta 3.40

---

DFT (SCAN) results for a PBEsol-optimized structure of La2TaCl.

Output
Offset from the most stable computed form   0.0 meV/atom
Density of states at the Fermi level   0.939 states/eV/atom
Formation energy from raw total energies   -378 meV per atom
Space-group type   Imm2
Total DFT energy (no corrections)   -162.28 eV for the cell shown
Crystal system   orthorhombic

abc: 3.2679 3.6850 9.0076
angles: 101.80 100.45 90.00
Last column: nearest neighbours and their distance in Å.
Sites, in units of the cell vectors:
Cl  0.2968  0.7968  0.5936  6 La 3.07-3.11, 2 Cl 3.27
La  0.9496  0.9496  0.8992  2 Cl 3.11, 4 Ta 3.14, 2 La 3.27
La  0.6912  0.1912  0.3824  2 Ta 2.89, 4 Cl 3.07
Ta  0.5624  0.5624  0.1248  6 La 2.89-3.14

---

DFT (SCAN) results for a PBEsol-optimized structure of LaTaTiCl2.

Output
Density of states at the Fermi level   1.434 states/eV/atom
Formation energy from raw total energies   735 meV per atom
Space-group type   P4/mmm
Total DFT energy (no corrections)   -138.00 eV for the cell shown
Crystal system   tetragonal

abc: 5.1632 5.1632 6.2016
angles: 90.00 90.00 90.00
Last column: nearest neighbours and their distance in Å.
Sites, in units of the cell vectors:
Cl  0.0000  0.5000  0.0000  2 La 2.58
Cl  0.5000  0.0000  0.0000  2 La 2.58
La  0.0000  0.0000  0.0000  4 Cl 2.58
Ti  0.0000  0.0000  0.5000  2 La 3.10
Ta  0.5000  0.5000  0.5000  4 Ti 3.65, 8 Cl 4.03

---

DFT (SCAN) results for a PBEsol-optimized structure of LaTc2Cl.

Output
Offset from the most stable computed form   916.1 meV/atom
Density of states at the Fermi level   0.960 states/eV/atom
Formation energy from raw total energies   1021 meV per atom
Space-group type   Fm-3m
Total DFT energy (no corrections)   -117.12 eV for the cell shown
Crystal system   cubic

abc: 4.5975 4.5975 4.5975
angles: 60.00 60.00 60.00
Last column: nearest neighbours and their distance in Å.
Sites, in units of the cell vectors:
Cl  0.0000  0.0000  0.0000  8 Tc 2.82
Tc  0.2500  0.2500  0.2500  4 Cl 2.82, 4 La 2.82
Tc  0.7500  0.7500  0.7500  4 La 2.82, 4 Cl 2.82
La  0.5000  0.5000  0.5000  8 Tc 2.82

---

DFT (SCAN) results for a PBEsol-optimized structure of LaTc2Cl.

Output
Offset from the most stable computed form   0.0 meV/atom
Density of states at the Fermi level   0.948 states/eV/atom
Formation energy from raw total energies   105 meV per atom
Space-group type   P4/mmm
Total DFT energy (no corrections)   -120.78 eV for the cell shown
Crystal system   tetragonal

abc: 3.6978 3.6978 5.7254
angles: 90.00 90.00 90.00
Last column: nearest neighbours and their distance in Å.
Sites, in units of the cell vectors:
Cl  0.5000  0.5000  0.5000  4 La 2.61
Tc  0.0000  0.5000  0.0000  4 Tc 2.61
Tc  0.5000  0.0000  0.0000  4 Tc 2.61
La  0.0000  0.0000  0.5000  4 Cl 2.61

---

DFT (SCAN) results for a PBEsol-optimized structure of LaTc2Cl.

Output
Offset from the most stable computed form   284.7 meV/atom
Density of states at the Fermi level   0.896 states/eV/atom
Formation energy from raw total energies   390 meV per atom
Space-group type   P4/mmm
Total DFT energy (no corrections)   -119.64 eV for the cell shown
Crystal system   tetragonal

abc: 3.9929 3.9929 5.7600
angles: 90.00 90.00 90.00
Last column: nearest neighbours and their distance in Å.
Sites, in units of the cell vectors:
Cl  0.5000  0.5000  0.0000  2 La 2.88
Tc  0.0000  0.0000  0.6821  1 Tc 2.10
Tc  0.0000  0.0000  0.3179  1 Tc 2.10
La  0.5000  0.5000  0.5000  2 Cl 2.88, 8 Tc 3.01

---

DFT (SCAN) results for a PBEsol-optimized structure of LaTcCl.

Output
Density of states at the Fermi level   0.314 states/eV/atom
Formation energy from raw total energies   -108 meV per atom
Space-group type   I4mm
Total DFT energy (no corrections)   -86.47 eV for the cell shown
Crystal system   tetragonal

abc: 3.2189 3.2194 6.5713
angles: 104.18 104.18 90.00
Last column: nearest neighbours and their distance in Å.
Sites, in units of the cell vectors:
Cl  0.0016  0.0016  0.0032  4 Tc 3.04, 4 La 3.08, 4 Cl 3.22
Tc  0.6653  0.6653  0.3306  4 Cl 3.04, 4 La 3.08, 4 Tc 3.22
La  0.3331  0.3331  0.6661  4 Tc 3.08, 4 Cl 3.08, 4 La 3.22

---

DFT (SCAN) results for a PBEsol-optimized structure of La3TcCl.

Output
Density of states at the Fermi level   1.026 states/eV/atom
Formation energy from raw total energies   -330 meV per atom
Space-group type   Pm-3m
Total DFT energy (no corrections)   -174.00 eV for the cell shown
Crystal system   cubic

abc: 5.4319 5.4319 5.4319
angles: 90.00 90.00 90.00
Last column: nearest neighbours and their distance in Å.
Sites, in units of the cell vectors:
Cl  0.5000  0.5000  0.5000  12 La 3.84
Tc  0.0000  0.0000  0.0000  6 La 2.72
La  0.0000  0.5000  0.0000  2 Tc 2.72
La  0.0000  0.0000  0.5000  2 Tc 2.72
La  0.5000  0.0000  0.0000  2 Tc 2.72

---

DFT (SCAN) results for a PBEsol-optimized structure of LaTcTeCl2.

Output
Density of states at the Fermi level   0.736 states/eV/atom
Formation energy from raw total energies   -752 meV per atom
Space-group type   P4/mmm
Total DFT energy (no corrections)   -135.13 eV for the cell shown
Crystal system   tetragonal

abc: 4.6933 4.6933 5.3717
angles: 90.00 90.00 90.00
Last column: nearest neighbours and their distance in Å.
Sites, in units of the cell vectors:
Cl  0.0000  0.5000  0.0000  2 Tc 2.35
Cl  0.5000  0.0000  0.0000  2 Tc 2.35
Te  0.0000  0.0000  0.5000  2 Tc 2.69
Tc  0.0000  0.0000  0.0000  4 Cl 2.35
La  0.5000  0.5000  0.5000  4 Te 3.32, 8 Cl 3.57

---

DFT (SCAN) results for a PBEsol-optimized structure of LaTeCl2.

Output
Offset from the most stable computed form   0.0 meV/atom
Density of states at the Fermi level   0.066 states/eV/atom
Formation energy from raw total energies   -1615 meV per atom
Space-group type   I4/mmm
Total DFT energy (no corrections)   -102.77 eV for the cell shown
Crystal system   tetragonal

abc: 4.6640 4.6640 5.6191
angles: 114.52 114.52 90.00
Last column: nearest neighbours and their distance in Å.
Sites, in units of the cell vectors:
Cl  0.7500  0.2500  0.5000  4 Te 3.26, 4 La 3.26, 4 Cl 3.30
Cl  0.2500  0.7500  0.5000  4 Te 3.26, 4 La 3.26, 4 Cl 3.30
Te  0.0000  0.0000  0.0000  8 Cl 3.26, 4 La 3.30
La  0.5000  0.5000  0.0000  8 Cl 3.26, 4 Te 3.30